The following is a SCAN calculation of a crystal of Ga2PbAuC relaxed with PBEsol, from Alexandria via LeMat-Bulk.

Unit cell a=4.261 b=4.261 c=4.897 alpha=90.00 beta=90.00 gamma=90.00
Fractional positions:
Ga1 0.000 0.500 0.000
Ga2 0.500 0.000 0.000
Pb1 0.000 0.000 0.500
Au1 0.500 0.500 0.500
C1 0.500 0.500 0.000

Summary:
E_form in eV/atom: 0.7988
E in eV/atom: -36.747